No. 1
The following is a DFT calculation (PBE) of a relaxed structure of LuBeSi.

Lattice parameters (Å, degrees): 6.0602 6.0602 6.0602 90.00 90.00 90.00
Space group F-43m (No. 216)
Symmetry-distinct sites (fractional):
Lu1 0.0000 0.0000 0.0000 [4 per cell]
Be1 0.0000 0.0000 0.5000 [4 per cell]
Si1 0.2500 0.2500 0.7500 [4 per cell]

## Properties
ρ (g/cm3): 6.33
Final energy (eV/atom): -4.5998
Magnetization (μB/f.u.): 0.00

No. 2
The following is a DFT calculation (PBE) of a relaxed structure of CsU.

Lattice parameters (Å, degrees): 3.2568 3.2568 7.0788 90.00 90.00 120.00
Space group P-6m2 (No. 187)
Symmetry-distinct sites (fractional):
Cs1 0.0000 0.0000 0.0000 [1 per cell]
U1 0.6667 0.3333 0.5000 [1 per cell]

## Properties
Offset from the most stable computed form (eV per atom): 0.000
ρ (g/cm3): 9.47
Final energy (eV/atom): -4.5492
Magnetization (μB/f.u.): 2.95

No. 3
The following is a DFT calculation (PBE) of a relaxed structure of SrAg3Pb4O12.

Lattice parameters (Å, degrees): 8.2012 8.2012 8.2012 90.00 90.00 90.00
Space group Im-3 (No. 204)
Symmetry-distinct sites (fractional):
Sr1 0.0000 0.0000 0.0000 [2 per cell]
Ag1 0.0000 0.0000 0.5000 [6 per cell]
Pb1 0.2500 0.2500 0.2500 [8 per cell]
O1 0.0000 0.3032 0.1683 [24 per cell]

## Properties
ρ (g/cm3): 8.62
Final energy (eV/atom): -5.0251

No. 4
The following is a DFT calculation (PBE) of a relaxed structure of SbOsNO.

Lattice parameters (Å, degrees): 3.0100 4.6608 7.2354 90.00 90.00 90.00
Space group Pmc2_1 (No. 26)
Symmetry-distinct sites (fractional):
Sb1 0.0000 0.0750 0.0000 [2 per cell]
Os1 0.5000 0.4829 0.8443 [2 per cell]
N1 0.0000 0.2402 0.2776 [2 per cell]
O1 0.5000 0.2623 0.5828 [2 per cell]

## Properties
Offset from the most stable computed form (eV per atom): 0.000
ρ (g/cm3): 11.19
Final energy (eV/atom): -7.1802
Magnetization (μB/f.u.): 0.00

No. 5
The following is a DFT calculation (PBE) of a relaxed structure of GdAlPO.

Lattice parameters (Å, degrees): 3.9912 6.6570 5.6131 90.00 90.00 90.00
Space group Pmc2_1 (No. 26)
Symmetry-distinct sites (fractional):
Gd1 0.0000 0.1863 0.0000 [2 per cell]
Al1 0.5000 0.3897 0.6150 [2 per cell]
P1 0.0000 0.2332 0.4942 [2 per cell]
O1 0.5000 0.3700 0.9501 [2 per cell]

## Properties
Offset from the most stable computed form (eV per atom): 0.022
ρ (g/cm3): 5.15
Final energy (eV/atom): -6.3932
Magnetization (μB/f.u.): 0.03

No. 6
The following is a DFT calculation (PBE) of a relaxed structure of GdErCd2Ag4.

Lattice parameters (Å, degrees): 4.9423 4.9423 6.9857 90.00 90.00 90.00
Space group P4/mmm (No. 123)
Symmetry-distinct sites (fractional):
Gd1 0.0000 0.0000 0.0000 [1 per cell]
Er1 0.5000 0.5000 0.5000 [1 per cell]
Cd1 0.0000 0.0000 0.5000 [1 per cell]
Cd2 0.5000 0.5000 0.0000 [1 per cell]
Ag1 0.0000 0.5000 0.2554 [4 per cell]

## Properties
ρ (g/cm3): 9.54
E_form (eV/atom): -0.294
Final energy (eV/atom): -3.0822
Magnetization (μB/f.u.): 0.00

No. 7
The following is a DFT calculation (PBE) of a relaxed structure of Y2ZrS5.

Lattice parameters (Å, degrees): 11.5921 7.7594 7.2631 90.00 90.00 90.00
Space group Pnma (No. 62)
Symmetry-distinct sites (fractional):
Y1 0.1792 0.0030 0.0228 [8 per cell]
Zr1 0.0070 0.7500 0.5787 [4 per cell]
S1 0.0026 0.7500 0.9499 [4 per cell]
S2 0.0948 0.0378 0.6612 [8 per cell]
S3 0.1820 0.7500 0.3314 [4 per cell]
S4 0.2085 0.2500 0.3101 [4 per cell]

## Properties
ρ (g/cm3): 4.37
Final energy (eV/atom): -7.1338
Magnetization (μB/f.u.): 0.00

No. 8
The following is a DFT calculation (PBE) of a relaxed structure of SmUSn.

Lattice parameters (Å, degrees): 7.3481 7.3481 7.3481 90.00 90.00 90.00
Space group F-43m (No. 216)
Symmetry-distinct sites (fractional):
Sm1 0.0000 0.0000 0.0000 [4 per cell]
U1 0.2500 0.2500 0.2500 [4 per cell]
Sn1 0.0000 0.0000 0.5000 [4 per cell]

## Properties
Offset from the most stable computed form (eV per atom): 0.000
ρ (g/cm3): 8.49
Final energy (eV/atom): -5.9808
Magnetization (μB/f.u.): 4.83

No. 9
The following is a DFT calculation (PBE) of a relaxed structure of Cu7Ag3.

Lattice parameters (Å, degrees): 14.2448 2.7258 7.3211 90.00 105.02 90.00
Space group Cm (No. 8)
Symmetry-distinct sites (fractional):
Cu1 0.0000 0.0000 0.0000 [2 per cell]
Cu2 0.9997 0.0000 0.4930 [2 per cell]
Cu3 0.0900 0.5000 0.3010 [2 per cell]
Cu4 0.0942 0.5000 0.7809 [2 per cell]
Cu5 0.1834 0.0000 0.5855 [2 per cell]
Cu6 0.4065 0.0000 0.1981 [2 per cell]
Cu7 0.4174 0.0000 0.7059 [2 per cell]
Ag1 0.1928 0.0000 0.0930 [2 per cell]
Ag2 0.3029 0.5000 0.4174 [2 per cell]
Ag3 0.3026 0.5000 0.8777 [2 per cell]

## Properties
Offset from the most stable computed form (eV per atom): 0.032
ρ (g/cm3): 9.30
E_form (eV/atom): 0.077
Final energy (eV/atom): -3.3724

No. 10
The following is a DFT calculation (PBE) of a relaxed structure of LaPm2Sn.

Lattice parameters (Å, degrees): 4.9953 4.9953 4.8833 90.00 90.00 90.00
Space group P4/mmm (No. 123)
Symmetry-distinct sites (fractional):
La1 0.0000 0.0000 0.0000 [1 per cell]
Pm1 0.0000 0.5000 0.5000 [2 per cell]
Sn1 0.5000 0.5000 0.0000 [1 per cell]

## Properties
ρ (g/cm3): 7.46
Final energy (eV/atom): -5.0638
Magnetization (μB/f.u.): 0.08

No. 11
The following is a DFT calculation (PBE) of a relaxed structure of NbFeBiIr.

Lattice parameters (Å, degrees): 6.5226 6.5226 6.5226 90.00 90.00 90.00
Space group F-43m (No. 216)
Symmetry-distinct sites (fractional):
Nb1 0.0000 0.0000 0.0000 [4 per cell]
Fe1 0.0000 0.0000 0.5000 [4 per cell]
Bi1 0.2500 0.2500 0.2500 [4 per cell]
Ir1 0.2500 0.2500 0.7500 [4 per cell]

## Properties
Offset from the most stable computed form (eV per atom): 0.063
ρ (g/cm3): 13.16
Final energy (eV/atom): -7.4710
Magnetization (μB/f.u.): 2.05

No. 12
The following is a DFT calculation (PBE) of a relaxed structure of NaCuWSe3.

Lattice parameters (Å, degrees): 3.5492 13.9158 9.7529 90.00 90.00 90.00
Space group Cmcm (No. 63)
Symmetry-distinct sites (fractional):
Na1 0.0000 0.2414 0.2500 [4 per cell]
Cu1 0.0000 0.4612 0.7500 [4 per cell]
W1 0.0000 0.0000 0.0000 [4 per cell]
Se1 0.0000 0.0796 0.7500 [4 per cell]
Se2 0.0000 0.3671 0.5458 [8 per cell]

## Properties
ρ (g/cm3): 6.99
Final energy (eV/atom): -5.0800
Magnetization (μB/f.u.): 1.12

No. 13
The following is a DFT calculation (PBE) of a relaxed structure of AcPt.

Lattice parameters (Å, degrees): 6.7626 6.7626 6.7626 90.00 90.00 90.00
Space group F-43m (No. 216)
Symmetry-distinct sites (fractional):
Ac1 0.0000 0.0000 0.0000 [4 per cell]
Pt1 0.2500 0.2500 0.7500 [4 per cell]

## Properties
ρ (g/cm3): 9.06
E_form (eV/atom): -0.589
Final energy (eV/atom): -5.6696
Magnetization (μB/f.u.): 0.16

No. 14
The following is a DFT calculation (PBE) of a relaxed structure of NbZnCuIr.

Lattice parameters (Å, degrees): 6.1883 6.1883 6.1883 90.00 90.00 90.00
Space group F-43m (No. 216)
Symmetry-distinct sites (fractional):
Nb1 0.0000 0.0000 0.0000 [4 per cell]
Zn1 0.0000 0.0000 0.5000 [4 per cell]
Cu1 0.2500 0.2500 0.7500 [4 per cell]
Ir1 0.2500 0.2500 0.2500 [4 per cell]

## Properties
Offset from the most stable computed form (eV per atom): 0.000
ρ (g/cm3): 11.61
E_form (eV/atom): -0.203
Final energy (eV/atom): -6.1852
Magnetization (μB/f.u.): 0.14

No. 15
The following is a DFT calculation (PBE) of a relaxed structure of Pm2GeP.

Lattice parameters (Å, degrees): 4.2846 23.0505 4.0642 90.00 90.00 90.00
Space group Cmcm (No. 63)
Symmetry-distinct sites (fractional):
Pm1 0.0000 0.0674 0.2500 [4 per cell]
Pm2 0.0000 0.3114 0.2500 [4 per cell]
Ge1 0.0000 0.4607 0.2500 [4 per cell]
P1 0.0000 0.1883 0.2500 [4 per cell]

## Properties
ρ (g/cm3): 6.51
Final energy (eV/atom): -6.1006
Magnetization (μB/f.u.): 0.00

No. 16
The following is a DFT calculation (PBE) of a relaxed structure of KHgB.

Lattice parameters (Å, degrees): 6.7281 6.7281 6.7281 90.00 90.00 90.00
Space group F-43m (No. 216)
Symmetry-distinct sites (fractional):
K1 0.0000 0.0000 0.0000 [4 per cell]
Hg1 0.0000 0.0000 0.5000 [4 per cell]
B1 0.2500 0.2500 0.7500 [4 per cell]

## Properties
Offset from the most stable computed form (eV per atom): 0.000
ρ (g/cm3): 5.46
Final energy (eV/atom): -1.5568

No. 17
The following is a DFT calculation (PBE) of a relaxed structure of LuCoGePt.

Lattice parameters (Å, degrees): 6.4788 6.4788 6.4788 90.00 90.00 90.00
Space group F-43m (No. 216)
Symmetry-distinct sites (fractional):
Lu1 0.0000 0.0000 0.0000 [4 per cell]
Co1 0.0000 0.0000 0.5000 [4 per cell]
Ge1 0.2500 0.2500 0.2500 [4 per cell]
Pt1 0.2500 0.2500 0.7500 [4 per cell]

## Properties
Offset from the most stable computed form (eV per atom): 0.193
ρ (g/cm3): 12.25
Final energy (eV/atom): -5.8959
Magnetization (μB/f.u.): 0.00

No. 18
The following is a DFT calculation (PBE) of a relaxed structure of YZr2Al2.

Lattice parameters (Å, degrees): 4.2118 4.2118 13.0067 90.00 90.00 90.00
Space group I4/mmm (No. 139)
Symmetry-distinct sites (fractional):
Y1 0.0000 0.0000 0.0000 [2 per cell]
Zr1 0.0000 0.5000 0.2500 [4 per cell]
Al1 0.0000 0.0000 0.4029 [4 per cell]

## Properties
ρ (g/cm3): 4.68
Final energy (eV/atom): -6.4622
Magnetization (μB/f.u.): 0.09

No. 19
The following is a DFT calculation (PBE) of a relaxed structure of LiZn2Au.

Lattice parameters (Å, degrees): 4.0104 4.0277 7.3582 90.00 90.00 90.00
Space group Immm (No. 71)
Symmetry-distinct sites (fractional):
Li1 0.0000 0.0000 0.0000 [2 per cell]
Zn1 0.0000 0.5000 0.2502 [4 per cell]
Au1 0.0000 0.0000 0.5000 [2 per cell]

## Properties
Offset from the most stable computed form (eV per atom): 0.003
ρ (g/cm3): 9.35
Final energy (eV/atom): -2.2920

No. 20
The following is a DFT calculation (PBE) of a relaxed structure of Sm2DyZn2Si4Au2.

Lattice parameters (Å, degrees): 4.0871 4.2439 25.0400 90.00 90.00 90.00
Space group Immm (No. 71)
Symmetry-distinct sites (fractional):
Sm1 0.0000 0.0000 0.1467 [4 per cell]
Dy1 0.0000 0.5000 0.0000 [2 per cell]
Zn1 0.0000 0.5000 0.2509 [4 per cell]
Si1 0.0000 0.0000 0.3082 [4 per cell]
Si2 0.0000 0.5000 0.4534 [4 per cell]
Au1 0.0000 0.0000 0.4059 [4 per cell]

## Properties
Offset from the most stable computed form (eV per atom): 0.000
ρ (g/cm3): 8.41
Final energy (eV/atom): -4.7350
Magnetization (μB/f.u.): 0.01